Record 1
Compound: MgCo2HPt
Source: the Alexandria database
Functional: PBE
Structure: optimized geometry

The calculation puts the density of states at the Fermi level at 0.889 states/eV/atom. The value obtained for the energy above the most stable polymorph in this dataset is 0.017 eV per atom. The crystal system is tetragonal. The calculation puts the uncorrected energy at -5.17 eV per atom.

The structure belongs to space group P4/mmm (No. 123); the cell edges are 3.723, 3.723 and 4.032 Å and the angles 90.00°, 90.00° and 90.00°. Symmetry generates all atoms from Mg at (0.000, 0.000, 0.000), Co at (0.000, 0.500, 0.500), H at (0.500, 0.500, 0.500) and Pt at (0.500, 0.500, 0.000).


Record 2
Compound: CsCdPb3
Source: the Alexandria database
Functional: PBE
Structure: optimized geometry

The calculation puts the density of states at the Fermi level at 0.516 states/eV/atom. The value obtained for the energy above the most stable polymorph in this dataset is 0.043 eV per atom. The calculation puts the formation energy at -0.063 eV/atom. The crystal system is monoclinic. The calculation puts the uncorrected energy at -2.64 eV per atom.

The structure belongs to space group C2/c (No. 15); the cell edges are 15.729, 12.119 and 7.968 Å and the angles 90.00°, 105.20° and 90.00°. Symmetry generates all atoms from Cs at (0.000, 0.029, 0.250), Cs at (0.000, 0.357, 0.750), Cd at (0.095, 0.339, 0.279), Pb at (0.186, 0.167, 0.066), Pb at (0.190, 0.188, 0.620) and Pb at (0.204, 0.484, 0.606).


Record 3
Compound: YCuPb2
Source: the Alexandria database
Functional: PBE
Structure: optimized geometry

The calculation puts the density of states at the Fermi level at 0.700 states/eV/atom. The value obtained for the energy above the most stable polymorph in this dataset is 0.197 eV per atom. The calculation puts the formation energy at 0.024 eV/atom. The crystal system is cubic. The calculation puts the uncorrected energy at -4.47 eV per atom.

The structure belongs to space group F-43m (No. 216); the cell edges are 7.489, 7.489 and 7.489 Å and the angles 90.00°, 90.00° and 90.00°. Symmetry generates all atoms from Y at (0.000, 0.000, 0.000), Cu at (0.250, 0.250, 0.750), Pb at (0.000, 0.000, 0.500) and Pb at (0.250, 0.250, 0.250).


Record 4
Compound: SrMg4Rh
Source: the Alexandria database
Functional: PBE
Structure: optimized geometry

The calculation puts the density of states at the Fermi level at 0.593 states/eV/atom. The value obtained for the energy above the most stable polymorph in this dataset is 0.000 eV per atom. The calculation puts the formation energy at -0.272 eV/atom. The crystal system is orthorhombic. The calculation puts the uncorrected energy at -2.84 eV per atom.

The structure belongs to space group Pmma (No. 51); the cell edges are 8.626, 4.354 and 7.849 Å and the angles 90.00°, 90.00° and 90.00°. Symmetry generates all atoms from Sr at (0.250, 0.000, 0.093), Mg at (0.000, 0.000, 0.500), Mg at (0.071, 0.500, 0.793), Mg at (0.250, 0.500, 0.469) and Rh at (0.250, 0.000, 0.695).


- Among the records above, which one has the lowest uncorrected energy?
  MgCo2HPt